[1]
The following is a DFT calculation (GGA-PBE) of an optimized crystal structure of AlFe2Br.

Properties
- V (Å³ per cell) = 60.1
- uncorrected formation energy (meV per atom) = 704
- magnetic moment (μB per cell) = 4.55

Geometry as CIF:
```
data_AlFe2Br
_cell_length_a 4.818
_cell_length_b 4.818
_cell_length_c 4.818
_cell_angle_alpha 132.21
_cell_angle_beta 132.21
_cell_angle_gamma 69.90
_space_group_name_H-M_alt 'P 1'
_space_group_IT_number 1
_space_group_name_Hall 'P 1'
loop_
_atom_site_label
_atom_site_fract_x
_atom_site_fract_y
_atom_site_fract_z
Al1 0.000 0.000 0.000
Fe1 0.250 0.750 0.500
Fe2 0.750 0.250 0.500
Br1 0.500 0.500 0.000
```

---

[2]
The following is a DFT calculation (GGA-PBE) of an optimized crystal structure of CaPt2Se.

Properties
- V (Å³ per cell) = 75.5
- uncorrected formation energy (meV per atom) = -260
- magnetic moment (μB per cell) = 0.00

Geometry as CIF:
```
data_CaPt2Se
_cell_length_a 3.139
_cell_length_b 3.139
_cell_length_c 7.656
_cell_angle_alpha 90.00
_cell_angle_beta 90.00
_cell_angle_gamma 90.00
_space_group_name_H-M_alt 'P 1'
_space_group_IT_number 1
_space_group_name_Hall 'P 1'
loop_
_atom_site_label
_atom_site_fract_x
_atom_site_fract_y
_atom_site_fract_z
Ca1 0.000 0.000 0.000
Pt1 0.500 0.500 0.277
Pt2 0.500 0.500 0.723
Se1 0.000 0.000 0.500
```

---

What is the magnetic moment in the first record? 4.55 μB per cell